(1)
DFT (PBE) results for a relaxed structure of PbS2IN.

```
PbS2IN
1.0
5.391 0.000 0.000
0.000 5.391 0.000
0.000 0.000 4.337
Pb S I N
1 2 1 1
direct
0.000 0.000 0.000 Pb
0.000 0.500 0.000 S
0.500 0.000 0.000 S
0.500 0.500 0.500 I
0.000 0.000 0.500 N
```

The formation energy from raw total energies comes out at 1.296 eV/atom. The total energy is -3.072 eV per atom. The total magnetization is 0.00 μB per cell. For the energy above the most stable polymorph in this dataset, the calculation gives 9.85 kcal/mol of atoms.

---

(2)
DFT (PBE) results for a relaxed structure of Sb2PbIN.

```
Sb2PbIN
1.0
6.008 0.000 0.000
0.000 6.008 0.000
0.000 0.000 6.394
Sb Pb I N
2 1 1 1
direct
0.000 0.500 0.000 Sb
0.500 0.000 0.000 Sb
0.000 0.000 0.000 Pb
0.000 0.000 0.500 I
0.500 0.500 0.500 N
```

The formation energy from raw total energies comes out at 1.601 eV/atom. The total energy is -2.764 eV per atom. The total magnetization is 5.04 μB per cell. For the energy above the most stable polymorph in this dataset, the calculation gives 21.85 kcal/mol of atoms.

---

(3)
DFT (PBE) results for a relaxed structure of Sb2PbIN.

```
Sb2PbIN
1.0
4.811 0.000 0.000
0.000 4.811 0.000
0.000 0.000 5.418
Sb Pb I N
2 1 1 1
direct
0.000 0.500 0.000 Sb
0.500 0.000 0.000 Sb
0.000 0.000 0.500 Pb
0.500 0.500 0.500 I
0.500 0.500 0.000 N
```

The formation energy from raw total energies comes out at 0.654 eV/atom. The total energy is -3.712 eV per atom. The total magnetization is 0.00 μB per cell. For the energy above the most stable polymorph in this dataset, the calculation gives 0.00 kcal/mol of atoms.

---

(4)
DFT (PBE) results for a relaxed structure of PbSeIN2.

```
PbSeIN2
1.0
4.412 0.000 0.000
0.000 4.412 0.000
0.000 0.000 7.339
Pb Se I N
1 1 1 2
direct
0.000 0.000 0.000 Pb
0.500 0.500 0.500 Se
0.000 0.000 0.500 I
0.000 0.500 0.000 N
0.500 0.000 0.000 N
```

The formation energy from raw total energies comes out at 1.677 eV/atom. The total energy is -3.402 eV per atom. The total magnetization is 2.80 μB per cell. For the energy above the most stable polymorph in this dataset, the calculation gives 4.45 kcal/mol of atoms.

---

(5)
DFT (PBE) results for a relaxed structure of PbSeIN2.

```
PbSeIN2
1.0
4.231 0.000 0.000
0.000 4.231 0.000
0.000 0.000 5.676
Pb Se I N
1 1 1 2
direct
0.000 0.000 0.000 Pb
0.500 0.500 0.000 Se
0.500 0.500 0.500 I
0.000 0.500 0.500 N
0.500 0.000 0.500 N
```

The formation energy from raw total energies comes out at 1.484 eV/atom. The total energy is -3.595 eV per atom. The total magnetization is 0.84 μB per cell. For the energy above the most stable polymorph in this dataset, the calculation gives 0.00 kcal/mol of atoms.

---

(6)
DFT (PBE) results for a relaxed structure of PbSeIN2.

```
PbSeIN2
1.0
4.330 0.000 0.000
0.000 4.330 0.000
0.000 0.000 7.479
Pb Se I N
1 1 1 2
direct
0.000 0.000 0.000 Pb
0.500 0.500 0.500 Se
0.500 0.500 0.000 I
0.000 0.500 0.500 N
0.500 0.000 0.500 N
```

The formation energy from raw total energies comes out at 1.605 eV/atom. The total energy is -3.474 eV per atom. The total magnetization is 2.03 μB per cell. For the energy above the most stable polymorph in this dataset, the calculation gives 2.80 kcal/mol of atoms.

---

(7)
DFT (PBE) results for a relaxed structure of PbSeIN2.

```
PbSeIN2
1.0
4.513 0.000 0.000
0.000 4.513 0.000
0.000 0.000 6.015
Pb Se I N
1 1 1 2
direct
0.000 0.000 0.000 Pb
0.000 0.000 0.500 Se
0.500 0.500 0.500 I
0.000 0.500 0.000 N
0.500 0.000 0.000 N
```

The formation energy from raw total energies comes out at 1.589 eV/atom. The total energy is -3.490 eV per atom. The total magnetization is 3.17 μB per cell. For the energy above the most stable polymorph in this dataset, the calculation gives 2.42 kcal/mol of atoms.

---

(8)
DFT (PBE) results for a relaxed structure of SiPbIN2.

```
SiPbIN2
1.0
4.104 0.000 0.000
0.000 4.104 0.000
0.000 0.000 5.728
Si Pb I N
1 1 1 2
direct
0.000 0.000 0.000 Si
0.500 0.500 0.500 Pb
0.000 0.000 0.500 I
0.000 0.500 0.000 N
0.500 0.000 0.000 N
```

The formation energy from raw total energies comes out at 1.132 eV/atom. The total energy is -4.334 eV per atom. The total magnetization is 0.75 μB per cell. For the energy above the most stable polymorph in this dataset, the calculation gives 0.00 kcal/mol of atoms.

---

(9)
DFT (PBE) results for a relaxed structure of SiPbIN2.

```
SiPbIN2
1.0
4.462 0.000 0.000
0.000 4.462 0.000
0.000 0.000 6.633
Si Pb I N
1 1 1 2
direct
0.000 0.000 0.000 Si
0.500 0.500 0.500 Pb
0.500 0.500 0.000 I
0.000 0.500 0.500 N
0.500 0.000 0.500 N
```

The formation energy from raw total energies comes out at 1.859 eV/atom. The total energy is -3.608 eV per atom. The total magnetization is 1.35 μB per cell. For the energy above the most stable polymorph in this dataset, the calculation gives 16.75 kcal/mol of atoms.

---

(10)
DFT (PBE) results for a relaxed structure of SnPbI2N.

```
SnPbI2N
1.0
6.384 0.000 0.000
0.000 6.384 0.000
0.000 0.000 4.148
Sn Pb I N
1 1 2 1
direct
0.000 0.000 0.000 Sn
0.500 0.500 0.500 Pb
0.000 0.500 0.500 I
0.500 0.000 0.500 I
0.500 0.500 0.000 N
```

The formation energy from raw total energies comes out at 0.694 eV/atom. The total energy is -3.133 eV per atom. The total magnetization is 0.15 μB per cell. For the energy above the most stable polymorph in this dataset, the calculation gives 7.01 kcal/mol of atoms.

---

(11)
DFT (PBE) results for a relaxed structure of SnPbI2N.

```
SnPbI2N
1.0
6.312 0.000 0.000
0.000 6.312 0.000
0.000 0.000 3.926
Sn Pb I N
1 1 2 1
direct
0.000 0.000 0.000 Sn
0.500 0.500 0.500 Pb
0.000 0.500 0.000 I
0.500 0.000 0.000 I
0.000 0.000 0.500 N
```

The formation energy from raw total energies comes out at 0.390 eV/atom. The total energy is -3.437 eV per atom. The total magnetization is 0.00 μB per cell. For the energy above the most stable polymorph in this dataset, the calculation gives 0.00 kcal/mol of atoms.

---

(12)
DFT (PBE) results for a relaxed structure of SrPbI2N.

```
SrPbI2N
1.0
6.346 0.000 0.000
0.000 6.346 0.000
0.000 0.000 4.782
Sr Pb I N
1 1 2 1
direct
0.000 0.000 0.000 Sr
0.500 0.500 0.500 Pb
0.000 0.500 0.000 I
0.500 0.000 0.000 I
0.000 0.000 0.500 N
```

The formation energy from raw total energies comes out at 0.139 eV/atom. The total energy is -3.224 eV per atom. The total magnetization is 1.33 μB per cell. For the energy above the most stable polymorph in this dataset, the calculation gives 3.42 kcal/mol of atoms.

---

(13)
DFT (PBE) results for a relaxed structure of SrPbIN2.

```
SrPbIN2
1.0
4.575 0.000 0.000
0.000 4.575 0.000
0.000 0.000 6.229
Sr Pb I N
1 1 1 2
direct
0.000 0.000 0.000 Sr
0.500 0.500 0.500 Pb
0.500 0.500 0.000 I
0.000 0.500 0.500 N
0.500 0.000 0.500 N
```

The formation energy from raw total energies comes out at 0.752 eV/atom. The total energy is -3.967 eV per atom. The total magnetization is 1.41 μB per cell. For the energy above the most stable polymorph in this dataset, the calculation gives 0.00 kcal/mol of atoms.

---

(14)
DFT (PBE) results for a relaxed structure of SrPbI2N.

```
SrPbI2N
1.0
6.450 0.000 0.000
0.000 6.450 0.000
0.000 0.000 4.198
Sr Pb I N
1 1 2 1
direct
0.000 0.000 0.000 Sr
0.500 0.500 0.500 Pb
0.000 0.500 0.500 I
0.500 0.000 0.500 I
0.500 0.500 0.000 N
```

The formation energy from raw total energies comes out at -0.009 eV/atom. The total energy is -3.372 eV per atom. The total magnetization is 0.00 μB per cell. For the energy above the most stable polymorph in this dataset, the calculation gives 0.00 kcal/mol of atoms.

---

(15)
DFT (PBE) results for a relaxed structure of SrPbIN2.

```
SrPbIN2
1.0
4.963 0.000 0.000
0.000 4.963 0.000
0.000 0.000 6.479
Sr Pb I N
1 1 1 2
direct
0.000 0.000 0.000 Sr
0.500 0.500 0.500 Pb
0.000 0.000 0.500 I
0.000 0.500 0.000 N
0.500 0.000 0.000 N
```

The formation energy from raw total energies comes out at 1.038 eV/atom. The total energy is -3.680 eV per atom. The total magnetization is 3.03 μB per cell. For the energy above the most stable polymorph in this dataset, the calculation gives 6.60 kcal/mol of atoms.

---

(16)
DFT (PBE) results for a relaxed structure of TaPbIN2.

```
TaPbIN2
1.0
4.236 0.000 0.000
0.000 4.236 0.000
0.000 0.000 5.660
Ta Pb I N
1 1 1 2
direct
0.000 0.000 0.000 Ta
0.500 0.500 0.500 Pb
0.000 0.000 0.500 I
0.000 0.500 0.000 N
0.500 0.000 0.000 N
```

The formation energy from raw total energies comes out at 0.462 eV/atom. The total energy is -6.290 eV per atom. The total magnetization is 0.00 μB per cell. For the energy above the most stable polymorph in this dataset, the calculation gives 0.00 kcal/mol of atoms.

---

(17)
DFT (PBE) results for a relaxed structure of TaPbIN2.

```
TaPbIN2
1.0
4.404 0.000 0.000
0.000 4.404 0.000
0.000 0.000 5.815
Ta Pb I N
1 1 1 2
direct
0.000 0.000 0.000 Ta
0.500 0.500 0.500 Pb
0.500 0.500 0.000 I
0.000 0.500 0.500 N
0.500 0.000 0.500 N
```

The formation energy from raw total energies comes out at 2.393 eV/atom. The total energy is -4.359 eV per atom. The total magnetization is 1.85 μB per cell. For the energy above the most stable polymorph in this dataset, the calculation gives 44.53 kcal/mol of atoms.

---

(18)
DFT (PBE) results for a relaxed structure of TcPbI2N.

```
TcPbI2N
1.0
5.721 0.000 0.000
0.000 5.721 0.000
0.000 0.000 3.823
Tc Pb I N
1 1 2 1
direct
0.000 0.000 0.000 Tc
0.500 0.500 0.500 Pb
0.000 0.500 0.000 I
0.500 0.000 0.000 I
0.000 0.000 0.500 N
```

The formation energy from raw total energies comes out at 0.243 eV/atom. The total energy is -4.857 eV per atom. The total magnetization is 0.00 μB per cell. For the energy above the most stable polymorph in this dataset, the calculation gives 0.00 kcal/mol of atoms.

---

(19)
DFT (PBE) results for a relaxed structure of TcPbI2N.

```
TcPbI2N
1.0
5.953 0.000 0.000
0.000 5.953 0.000
0.000 0.000 4.409
Tc Pb I N
1 1 2 1
direct
0.000 0.000 0.000 Tc
0.500 0.500 0.500 Pb
0.000 0.500 0.500 I
0.500 0.000 0.500 I
0.500 0.500 0.000 N
```

The formation energy from raw total energies comes out at 1.574 eV/atom. The total energy is -3.526 eV per atom. The total magnetization is 4.45 μB per cell. For the energy above the most stable polymorph in this dataset, the calculation gives 30.68 kcal/mol of atoms.

---

(20)
DFT (PBE) results for a relaxed structure of TiPbIN2.

```
TiPbIN2
1.0
4.204 0.000 0.000
0.000 4.204 0.000
0.000 0.000 5.526
Ti Pb I N
1 1 1 2
direct
0.000 0.000 0.000 Ti
0.500 0.500 0.500 Pb
0.000 0.000 0.500 I
0.000 0.500 0.000 N
0.500 0.000 0.000 N
```

The formation energy from raw total energies comes out at 0.445 eV/atom. The total energy is -5.516 eV per atom. The total magnetization is 0.51 μB per cell. For the energy above the most stable polymorph in this dataset, the calculation gives 0.00 kcal/mol of atoms.